Entry from Alexandria: SmY2ErSe6 after structural relaxation (PBE-GGA).

Computed properties:
The space-group type is R3, No. 146. The total magnetization is 0.000 Bohr magnetons per cell. The final energy comes out at -6.17 eV per atom. The formation energy from raw total energies is -1.85 eV/atom.

```
SmY2ErSe6
1.0
-4.144 -4.731 -3.583
0.491 -7.073 1.457
-5.834 -3.322 3.823
Se Sm Y Er
6 1 2 1
direct
0.920 0.608 0.249 Se
0.721 0.120 0.752 Se
0.608 0.224 0.249 Se
0.407 0.721 0.752 Se
0.224 0.919 0.249 Se
0.120 0.408 0.752 Se
0.816 0.816 0.553 Sm
0.515 0.515 0.454 Y
0.013 0.013 0.961 Y
0.319 0.319 0.043 Er
```